KGeN2O | PBE | relaxed

a = 4.0293 Å, b = 4.0293 Å, c = 3.9311 Å
α = 90.00°, β = 90.00°, γ = 90.00°
Space group P4/mmm (No. 123)
One atom of each set of equivalent atoms:
K 0.0000 0.0000 0.0000 [1 per cell]
Ge 0.5000 0.5000 0.5000 [1 per cell]
N 0.0000 0.5000 0.5000 [2 per cell]
O 0.5000 0.5000 0.0000 [1 per cell]

Values from the calculation:
The calculation puts the total energy at -5.0613 eV per atom. Its energy relative to the elements, uncorrected is 0.40 eV per atom. The density of states at the Fermi level is 1.07 states/eV/f.u. The magnetization is 3.0 μB/cell.

***

KGeNO2 | PBE | relaxed

a = 4.5860 Å, b = 4.5860 Å, c = 4.6766 Å
α = 90.00°, β = 90.00°, γ = 90.00°
Space group P4/mmm (No. 123)
One atom of each set of equivalent atoms:
K 0.0000 0.0000 0.0000 [1 per cell]
Ge 0.5000 0.5000 0.5000 [1 per cell]
N 0.0000 0.0000 0.5000 [1 per cell]
O 0.0000 0.5000 0.0000 [2 per cell]

Values from the calculation:
The calculation puts the total energy at -3.2014 eV per atom. Its energy relative to the elements, uncorrected is 1.59 eV per atom. The density of states at the Fermi level is 4.78 states/eV/f.u. The magnetization is 2.6 μB/cell.

***

KGeN2O | PBE | relaxed

a = 4.4878 Å, b = 4.4878 Å, c = 3.9315 Å
α = 90.00°, β = 90.00°, γ = 90.00°
Space group P4/mmm (No. 123)
One atom of each set of equivalent atoms:
K 0.0000 0.0000 0.0000 [1 per cell]
Ge 0.5000 0.5000 0.0000 [1 per cell]
N 0.0000 0.5000 0.5000 [2 per cell]
O 0.5000 0.5000 0.5000 [1 per cell]

Values from the calculation:
The calculation puts the total energy at -3.9132 eV per atom. Its energy relative to the elements, uncorrected is 1.55 eV per atom. The density of states at the Fermi level is 2.26 states/eV/f.u. The magnetization is 2.4 μB/cell.

***

KGeNO2 | PBE | relaxed

a = 3.9067 Å, b = 3.9067 Å, c = 3.9969 Å
α = 90.00°, β = 90.00°, γ = 90.00°
Space group P4/mmm (No. 123)
One atom of each set of equivalent atoms:
K 0.0000 0.0000 0.0000 [1 per cell]
Ge 0.5000 0.5000 0.5000 [1 per cell]
N 0.5000 0.5000 0.0000 [1 per cell]
O 0.0000 0.5000 0.5000 [2 per cell]

Values from the calculation:
The calculation puts the total energy at -5.2089 eV per atom. Its energy relative to the elements, uncorrected is -0.42 eV per atom. The density of states at the Fermi level is 1.18 states/eV/f.u. The magnetization is 2.0 μB/cell.

***

KGeN2O | PBE | relaxed

a = 4.8316 Å, b = 4.8316 Å, c = 4.6075 Å
α = 90.00°, β = 90.00°, γ = 90.00°
Space group P4/mmm (No. 123)
One atom of each set of equivalent atoms:
K 0.0000 0.0000 0.0000 [1 per cell]
Ge 0.5000 0.5000 0.5000 [1 per cell]
N 0.0000 0.5000 0.0000 [2 per cell]
O 0.0000 0.0000 0.5000 [1 per cell]

Values from the calculation:
The calculation puts the total energy at -3.2637 eV per atom. Its energy relative to the elements, uncorrected is 2.20 eV per atom. The density of states at the Fermi level is 1.79 states/eV/f.u. The magnetization is 5.0 μB/cell.

***

K2PaGeN4 | PBE | relaxed

a = 6.3322 Å, b = 7.0638 Å, c = 6.9067 Å
α = 90.00°, β = 90.00°, γ = 90.00°
Space group Pmmn (No. 59, origin choice 2)
One atom of each set of equivalent atoms:
K 0.2500 0.0062 0.2227 [4 per cell]
Pa 0.2500 0.2500 0.6839 [2 per cell]
Ge 0.2500 0.7500 0.6650 [2 per cell]
N 0.0106 0.7500 0.5031 [4 per cell]
N 0.2500 0.5253 0.8134 [4 per cell]

Values from the calculation:
The calculation puts the total energy at -6.5573 eV per atom. Its energy relative to the elements, uncorrected is -0.36 eV per atom. The density of states at the Fermi level is 3.22 states/eV/f.u. The magnetization is 0.0 μB/cell.

***

KPaGeN4 | PBE | relaxed

a = 6.0798 Å, b = 4.2109 Å, c = 8.9303 Å
α = 90.00°, β = 105.47°, γ = 90.00°
Space group P2_1/m (No. 11)
One atom of each set of equivalent atoms:
K 0.2202 0.2500 0.0020 [2 per cell]
Pa 0.2154 0.2500 0.4263 [2 per cell]
Ge 0.2937 0.7500 0.7027 [2 per cell]
N 0.0666 0.7500 0.8001 [2 per cell]
N 0.1260 0.7500 0.4869 [2 per cell]
N 0.4885 0.5800 0.3181 [4 per cell]

Values from the calculation:
The calculation puts the total energy at -7.3616 eV per atom. Its energy relative to the elements, uncorrected is -0.43 eV per atom. The magnetization is 0.0 μB/cell.

***

K4Pa3GeN8 | PBE | relaxed

a = 12.6342 Å, b = 6.7801 Å, c = 7.5353 Å
α = 90.00°, β = 120.63°, γ = 90.00°
Space group C2/m (No. 12)
One atom of each set of equivalent atoms:
K 0.0000 0.0000 0.0000 [2 per cell]
K 0.0000 0.5000 0.0000 [2 per cell]
K 0.2500 0.2500 0.0000 [4 per cell]
Pa 0.0000 0.0000 0.5000 [2 per cell]
Pa 0.2500 0.2500 0.5000 [4 per cell]
Ge 0.0000 0.5000 0.5000 [2 per cell]
N 0.0285 0.2757 0.3457 [8 per cell]
N 0.2123 0.0000 0.6639 [4 per cell]
N 0.2379 0.0000 0.3052 [4 per cell]

Values from the calculation:
The calculation puts the total energy at -7.1979 eV per atom. Its energy relative to the elements, uncorrected is -0.69 eV per atom. The density of states at the Fermi level is 9.67 states/eV/f.u. The magnetization is 0.0 μB/cell.